Density functional theory data (GGA-PBE) for a geometry-optimized LiPmSnPt structure.

Cell and atoms, written as POSCAR:
```
LiPmSnPt
1.0
-3.896 1.830 2.203
-0.640 -0.685 4.743
0.475 3.710 3.065
Sn Pm Pt Li
1 1 1 1
Direct
0.500 0.500 0.500
0.000 0.000 0.000
0.750 0.750 0.750
0.250 0.250 0.250
```

## Properties
**Final energy**: -5.0608 eV/atom
**Space-group type**: F-43m (216)
**Energy of formation**: -3.54 eV per formula unit

Density functional theory data (GGA-PBE) for a geometry-optimized Hf4OsRu2 structure.

Cell and atoms, written as POSCAR:
```
Hf4OsRu2
1.0
5.261 -0.011 -1.858
-2.625 4.557 -1.864
-0.006 0.011 5.579
Ru Hf Os
2 4 1
Direct
0.500 0.000 0.500
0.500 0.500 0.000
0.500 0.000 0.000
0.000 0.500 0.000
0.000 0.000 0.500
0.500 0.500 0.500
0.000 0.000 0.000
```

## Properties
**Final energy**: -10.4744 eV/atom
**Space-group type**: I4/mmm (139)
**DOS(E_F)**: 5.392 states/eV per cell
**Energy of formation**: -3.73 eV per formula unit

Density functional theory data (GGA-PBE) for a geometry-optimized Ce6InGe2 structure.

Cell and atoms, written as POSCAR:
```
Ce6InGe2
1.0
-2.740 2.361 2.030
-5.644 -1.648 -5.704
0.708 -4.830 6.577
In Ce Ge
1 6 2
Direct
0.500 0.000 0.000
0.500 0.000 0.552
0.000 0.000 0.288
0.000 0.712 0.712
0.500 0.552 0.000
0.000 0.288 0.000
0.500 0.448 0.448
0.000 0.667 0.333
0.000 0.333 0.667
```

## Properties
**Final energy**: -5.7015 eV/atom
**Space-group type**: P-62m (189)
**DOS(E_F)**: 24.051 states/eV per cell
**Energy of formation**: -3.74 eV per formula unit

Density functional theory data (GGA-PBE) for a geometry-optimized Ti8Co2Pt structure.

Cell and atoms, written as POSCAR:
```
Ti8Co2Pt
1.0
4.534 -0.166 -0.249
-0.996 6.760 -0.442
-0.996 -3.011 6.069
Pt Ti Co
1 8 2
Direct
0.500 0.000 0.000
0.686 0.393 0.393
0.919 0.670 0.908
0.314 0.607 0.607
0.500 0.227 0.773
0.500 0.773 0.227
0.919 0.908 0.670
0.081 0.330 0.092
0.081 0.092 0.330
0.000 0.300 0.700
0.000 0.700 0.300
```

## Properties
**Final energy**: -7.8128 eV/atom
**Space-group type**: C2/m (12)
**DOS(E_F)**: 13.300 states/eV per cell
**Energy of formation**: -2.53 eV per formula unit